## CaZnIn3 (PBE-GGA)

Data for a relaxed structure of CaZnIn3. Values from VASP.

Summary:
Formation energy, kJ/mol of formula units: -101
Total DFT energy (no corrections), eV/atom: -2.5068
D(E_F), states/eV per atom: 0.290

The structure in Quantum ESPRESSO input format:
```
&SYSTEM
  ibrav = 0, nat = 20, ntyp = 3
/
ATOMIC_SPECIES
Ca 40.08 Ca.upf
Zn 65.41 Zn.upf
In 114.82 In.upf
ATOMIC_POSITIONS angstrom
Ca 1.7895 1.1494 0.0780
Ca 2.9720 3.4481 5.8579
Ca 6.5511 1.1494 5.7020
Ca 7.7335 3.4481 11.4819
Zn 1.1155 1.1494 7.3623
Zn 3.6460 3.4481 1.5824
Zn 5.8770 1.1494 9.9774
Zn 8.4075 3.4481 4.1975
In 0.6757 1.1494 4.6616
In 1.0324 3.4481 2.3867
In 1.2164 3.4481 9.2875
In 3.5452 1.1494 3.5076
In 3.7291 1.1494 8.1666
In 4.0858 3.4481 10.4415
In 5.4372 1.1494 1.1183
In 5.7939 3.4481 3.3933
In 5.9779 3.4481 8.0522
In 8.3067 1.1494 2.2723
In 8.4906 1.1494 9.1732
In 8.8474 3.4481 6.8982
CELL_PARAMETERS angstrom
9.5230 0.0000 0.0000
0.0000 4.5975 0.0000
0.0000 0.0000 11.5598
```